1.
Material: BaIn4Ag2Rh
Method: DFT, PBE
State: relaxed

DFT total energy ... -27.87 eV per cell
Space group ... No. 166
DFT formation energy ... -1.94 eV per formula unit
Crystal system ... trigonal

Structure (POSCAR):
```
BaIn4Ag2Rh
1.0
-3.753 2.500 -1.375
-4.271 -1.026 1.710
-1.140 7.077 7.895
In Ag Ba Rh
4 2 1 1
Cartesian
-5.008 2.445 1.952
-7.392 4.183 3.538
-1.771 4.367 4.693
-4.155 6.106 6.278
-2.218 2.450 2.427
-6.945 6.100 5.804
0.000 0.000 0.000
-4.582 4.275 4.115
```


2.
Material: Ba8InAg2Rh
Method: DFT, PBE
State: relaxed

DFT total energy ... -33.14 eV per cell
Space group ... No. 10
DFT formation energy ... -1.97 eV per formula unit
Crystal system ... monoclinic

Structure (POSCAR):
```
Ba8InAg2Rh
1.0
7.911 0.037 -0.005
0.088 7.756 -0.009
0.006 0.012 10.043
Ba Rh Ag In
8 1 2 1
Cartesian
1.373 6.054 7.813
2.734 2.111 5.017
6.636 1.757 7.815
2.498 1.946 -0.004
6.632 1.751 2.215
1.369 6.047 2.213
5.272 5.693 5.011
5.507 5.859 10.032
0.000 0.000 0.000
4.004 3.905 7.607
4.001 3.900 2.421
0.003 0.006 5.021
```


3.
Material: Ba2InAgS4
Method: DFT, PBE
State: relaxed

DFT total energy ... -69.21 eV per cell
Space group ... No. 74
ΔE_f (raw) ... -1.083 eV per atom
Crystal system ... orthorhombic

Structure (POSCAR):
```
Ba2InAgS4
1.0
8.358 0.312 -0.121
0.306 8.358 -0.121
-4.377 -4.380 6.250
S Ag In Ba
8 2 2 4
Cartesian
-2.303 2.149 6.086
-0.077 0.231 2.923
2.374 2.068 5.927
3.973 0.378 3.048
4.363 4.059 3.086
6.590 2.141 -0.077
0.314 3.911 2.961
1.913 2.221 0.082
0.153 4.179 -0.060
6.322 2.301 2.944
2.143 2.145 3.004
3.980 -4.068 6.129
4.332 4.335 -0.121
-2.189 -2.190 3.125
1.990 -2.034 3.065
4.179 0.156 -0.060
```


> DFT total energy of number 2 (Ba8InAg2Rh)?

-33.14 eV per cell


> Which formula does entry 1 have?

BaIn4Ag2Rh